A geometry-optimized Zn2BiOsO8 structure. Source: Alexandria via LeMat-Bulk, functional PBE-GGA.

Structure (CIF):
```
data_Zn2BiOsO8
_symmetry_space_group_name_H-M 'P 1'
_symmetry_Int_Tables_number 1
_cell_length_a 4.7501
_cell_length_b 4.7485
_cell_length_c 6.4997
_cell_angle_alpha 90.00
_cell_angle_beta 90.00
_cell_angle_gamma 92.33
loop_
_symmetry_equiv_pos_as_xyz
'x,y,z'
loop_
_atom_site_label
_atom_site_type_symbol
_atom_site_fract_x
_atom_site_fract_y
_atom_site_fract_z
_atom_site_occupancy
Zn1 Zn 0.5000 0.5000 0.7552 1
Zn2 Zn 0.5000 0.5000 0.2448 1
Bi1 Bi 0.0000 0.0000 0.5000 1
Os1 Os 0.0000 0.0000 0.0000 1
O1 O 0.1897 0.8098 0.2157 1
O2 O 0.7166 0.7171 0.0000 1
O3 O 0.8103 0.1902 0.2158 1
O4 O 0.8103 0.1902 0.7843 1
O5 O 0.2834 0.2829 0.0000 1
O6 O 0.1897 0.8098 0.7842 1
O7 O 0.6811 0.6817 0.5000 1
O8 O 0.3189 0.3183 0.5000 1
```

Summary:
DOS at the Fermi energy = 1.61 states/eV per cell
magnetization = 0.00 μB per atom
VASP energy = -69.450 eV/cell
SG = Cmmm, No. 65